No. 1
! GGA-PBE TlGaBr, optimized geometry; values from VASP
! V   30.16 A^3/atom
! DFT total energy   -0.19120 Ry per atom
&SYSTEM
  ibrav = 0, nat = 6, ntyp = 3
/
ATOMIC_SPECIES
Br 79.90 Br.upf
Tl 204.38 Tl.upf
Ga 69.72 Ga.upf
ATOMIC_POSITIONS crystal
Br 0.611 0.221 0.654
Tl 0.277 0.555 0.171
Tl 0.277 0.555 0.829
Br 0.611 0.221 0.346
Ga 0.277 0.554 0.500
Ga 0.614 0.227 0.000
CELL_PARAMETERS angstrom
3.932 0.000 0.000
-1.966 3.387 0.000
0.000 0.000 13.588

No. 2
! GGA-PBE Tl2GaBr8, optimized geometry; values from VASP
! V   39.68 A^3/atom
! DFT total energy   -0.17855 Ry per atom
&SYSTEM
  ibrav = 0, nat = 11, ntyp = 3
/
ATOMIC_SPECIES
Br 79.90 Br.upf
Ga 69.72 Ga.upf
Tl 204.38 Tl.upf
ATOMIC_POSITIONS crystal
Br 0.232 0.701 0.192
Br 0.232 0.192 0.701
Br 0.611 0.300 0.300
Br 0.860 0.860 0.860
Ga 0.000 0.000 0.000
Br 0.389 0.700 0.700
Br 0.768 0.299 0.808
Br 0.768 0.808 0.299
Br 0.140 0.140 0.140
Tl 0.538 0.150 0.150
Tl 0.462 0.850 0.850
CELL_PARAMETERS angstrom
-6.548 -1.345 1.705
1.801 -1.891 8.903
0.000 5.271 7.636

No. 3
! GGA-PBE Tl2Ga2Br5, optimized geometry; values from VASP
! V   37.59 A^3/atom
! DFT total energy   -0.20465 Ry per atom
&SYSTEM
  ibrav = 0, nat = 9, ntyp = 3
/
ATOMIC_SPECIES
Br 79.90 Br.upf
Tl 204.38 Tl.upf
Ga 69.72 Ga.upf
ATOMIC_POSITIONS crystal
Br 0.334 0.669 0.996
Tl 0.441 0.881 0.687
Br 0.000 0.000 0.000
Tl 0.559 0.119 0.313
Ga 0.153 0.306 0.940
Br 0.126 0.252 0.562
Br 0.874 0.748 0.438
Br 0.666 0.331 0.004
Ga 0.847 0.694 0.060
CELL_PARAMETERS angstrom
-5.157 0.558 1.591
-0.224 -2.057 -9.255
0.223 -6.384 2.962

No. 4
! GGA-PBE Tl2GaBr2, optimized geometry; values from VASP
! V   33.51 A^3/atom
! Energy above the most stable polymorph in this dataset   0 meV/atom
&SYSTEM
  ibrav = 0, nat = 10, ntyp = 3
/
ATOMIC_SPECIES
Tl 204.38 Tl.upf
Br 79.90 Br.upf
Ga 69.72 Ga.upf
ATOMIC_POSITIONS crystal
Tl 0.158 0.658 0.500
Br 0.159 0.341 0.000
Ga 0.000 0.000 0.000
Br 0.841 0.659 0.000
Br 0.659 0.159 0.000
Tl 0.842 0.342 0.500
Tl 0.658 0.842 0.500
Ga 0.500 0.500 0.000
Br 0.341 0.841 0.000
Tl 0.342 0.158 0.500
CELL_PARAMETERS angstrom
8.497 0.000 0.000
0.000 8.497 0.000
0.000 0.000 4.641